No. 1
Computed, not measured: a relaxed RbCa2In2 crystal at the PBE-GGA level of DFT.

Structure (POSCAR):
```
RbCa2In2
1.0
-2.440 4.825 1.967
-4.757 -2.949 1.332
-1.393 -0.164 7.088
Ca In Rb
2 2 1
Direct
0.250 0.750 0.500
0.750 0.250 0.500
0.384 0.384 0.232
0.616 0.616 0.768
0.000 0.000 0.000
```

Summary:
electronic total energy = -2.23 eV/atom
energy above the lowest structure with this stoichiometry = 69 meV per atom
energy relative to the elements = -141 meV/atom
crystal system = tetragonal

---

No. 2
Computed, not measured: a relaxed MgZrSe crystal at the PBE-GGA level of DFT.

Structure (POSCAR):
```
MgZrSe
1.0
4.712 0.000 0.000
2.356 4.081 0.000
2.356 1.360 3.847
Se Zr Mg
1 1 1
Direct
0.500 0.500 0.500
0.250 0.250 0.250
0.000 0.000 0.000
```

Summary:
energy relative to the elements, uncorrected = 0.41 eV per formula unit
electronic total energy = -4.41 eV/atom
energy above the lowest structure with this stoichiometry = 757 meV per atom
crystal system = cubic

---

No. 3
Computed, not measured: a relaxed Pa2Ni15Pt2 crystal at the PBE-GGA level of DFT.

Structure (POSCAR):
```
Pa2Ni15Pt2
1.0
-5.987 2.187 0.130
-2.570 -4.695 -3.464
-1.968 -3.546 4.919
Ni Pa Pt
15 2 2
Direct
0.183 0.662 0.662
0.000 0.500 0.000
0.338 0.662 0.000
0.500 0.000 0.000
0.000 0.662 0.338
0.338 0.338 0.817
0.338 0.000 0.662
0.000 0.338 0.662
0.000 0.000 0.500
0.662 0.000 0.338
0.817 0.338 0.338
0.662 0.183 0.662
0.662 0.662 0.183
0.338 0.817 0.338
0.662 0.338 0.000
0.152 0.152 0.152
0.848 0.848 0.848
0.623 0.623 0.623
0.377 0.377 0.377
```

Summary:
electronic total energy = -6.31 eV/atom
energy relative to the elements = -109 meV/atom
crystal system = trigonal

---

No. 4
Computed, not measured: a relaxed Ho2Be4ZnIr3 crystal at the PBE-GGA level of DFT.

Structure (POSCAR):
```
Ho2Be4ZnIr3
1.0
3.912 0.000 0.000
0.000 3.912 0.000
0.000 0.000 9.672
Zn Be Ir Ho
1 4 3 2
Direct
0.500 0.500 0.500
0.000 0.000 0.000
0.500 0.000 0.634
0.000 0.500 0.366
0.500 0.500 0.000
0.000 0.000 0.500
0.500 0.000 0.873
0.000 0.500 0.127
0.500 0.000 0.243
0.000 0.500 0.757
```

Summary:
electronic total energy = -5.75 eV/atom
energy relative to the elements = -557 meV/atom
crystal system = tetragonal

---

No. 5
Computed, not measured: a relaxed CeS2 crystal at the PBE-GGA level of DFT.

Structure (POSCAR):
```
CeS2
1.0
-2.294 -3.191 -1.319
5.560 -4.407 0.993
-2.586 -1.455 8.021
S Ce
8 4
Direct
0.750 0.863 0.434
0.250 0.534 0.334
0.250 0.034 0.166
0.750 0.966 0.834
0.750 0.466 0.666
0.250 0.137 0.566
0.750 0.363 0.066
0.250 0.637 0.934
0.750 0.753 0.125
0.250 0.747 0.625
0.250 0.247 0.875
0.750 0.253 0.375
```

Summary:
energy relative to the elements, uncorrected = -5.25 eV per formula unit
electronic total energy = -6.48 eV/atom
crystal system = orthorhombic

---

No. 6
Computed, not measured: a relaxed ZrTiZnRh crystal at the PBE-GGA level of DFT.

Structure (POSCAR):
```
ZrTiZnRh
1.0
-3.137 1.802 -2.810
-1.695 -2.499 -3.444
-4.333 -1.476 0.158
Ti Rh Zr Zn
1 1 1 1
Direct
0.250 0.250 0.250
0.000 0.000 0.000
0.750 0.750 0.750
0.500 0.500 0.500
```

Summary:
electronic total energy = -6.66 eV/atom
energy relative to the elements = -395 meV/atom
crystal system = cubic

---

No. 7
Computed, not measured: a relaxed K6Sn3As5 crystal at the PBE-GGA level of DFT.

Structure (POSCAR):
```
K6Sn3As5
1.0
10.871 0.000 0.000
0.000 11.101 0.000
0.000 0.000 14.990
Sn K As
12 24 20
Direct
0.169 0.604 0.000
0.500 0.732 0.103
0.500 0.732 0.897
0.000 0.268 0.397
0.000 0.880 0.374
0.831 0.604 0.000
0.000 0.268 0.603
0.500 0.120 0.874
0.500 0.120 0.126
0.669 0.396 0.500
0.331 0.396 0.500
0.000 0.880 0.626
0.791 0.895 0.853
0.702 0.700 0.352
0.000 0.590 0.219
0.791 0.895 0.147
0.209 0.895 0.853
0.202 0.300 0.852
0.702 0.700 0.648
0.500 0.419 0.000
0.500 0.410 0.719
0.709 0.105 0.353
0.298 0.700 0.648
0.798 0.300 0.148
0.500 0.902 0.500
0.291 0.105 0.647
0.798 0.300 0.852
0.298 0.700 0.352
0.202 0.300 0.148
0.000 0.590 0.781
0.709 0.105 0.647
0.000 0.581 0.500
0.500 0.410 0.281
0.000 0.098 0.000
0.209 0.895 0.147
0.291 0.105 0.353
0.682 0.102 0.000
0.307 0.592 0.855
0.307 0.592 0.145
0.000 0.089 0.726
0.193 0.408 0.645
0.693 0.592 0.855
0.000 0.782 0.000
0.807 0.408 0.645
0.807 0.408 0.355
0.193 0.408 0.355
0.818 0.898 0.500
0.000 0.425 0.000
0.500 0.575 0.500
0.318 0.102 0.000
0.500 0.911 0.774
0.182 0.898 0.500
0.500 0.218 0.500
0.500 0.911 0.226
0.693 0.592 0.145
0.000 0.089 0.274
```

Summary:
electronic total energy = -3.43 eV/atom
energy relative to the elements = -443 meV/atom
crystal system = orthorhombic

---

No. 8
Computed, not measured: a relaxed KSm2Co crystal at the PBE-GGA level of DFT.

Structure (POSCAR):
```
KSm2Co
1.0
-3.032 1.862 -1.813
-3.451 -1.918 -0.596
-5.842 3.551 9.022
Sm Co K
2 1 1
Direct
0.876 0.876 0.372
0.124 0.124 0.628
0.500 0.500 0.500
0.000 0.000 0.000
```

Summary:
electronic total energy = -4.33 eV/atom
energy relative to the elements = 78 meV/atom
crystal system = trigonal

---

No. 9
Computed, not measured: a relaxed Dy2HoPaN4 crystal at the PBE-GGA level of DFT.

Structure (POSCAR):
```
Dy2HoPaN4
1.0
-1.666 -1.981 -2.338
0.868 -4.817 3.461
-5.195 2.599 1.501
Dy Pa N Ho
2 1 4 1
Direct
0.500 0.000 0.500
0.000 0.500 0.500
0.000 0.000 0.000
0.500 0.758 0.759
0.000 0.242 0.760
0.500 0.242 0.241
0.000 0.758 0.240
0.500 0.500 0.000
```

Summary:
energy relative to the elements, uncorrected = -13.72 eV per formula unit
electronic total energy = -8.79 eV/atom
crystal system = monoclinic

---

No. 10
Computed, not measured: a relaxed Hf2TaAlI crystal at the PBE-GGA level of DFT.

Structure (POSCAR):
```
Hf2TaAlI
1.0
5.065 0.000 0.000
0.000 4.821 0.000
0.000 0.000 5.065
Ta I Al Hf
1 1 1 2
Direct
0.000 0.500 0.000
0.500 0.500 0.500
0.000 0.000 0.000
0.000 0.000 0.500
0.500 0.000 0.000
```

Summary:
energy relative to the elements, uncorrected = 5.65 eV per formula unit
electronic total energy = -6.28 eV/atom
crystal system = tetragonal

---

No. 11
Computed, not measured: a relaxed DyY2Al crystal at the PBE-GGA level of DFT.

Structure (POSCAR):
```
DyY2Al
1.0
-2.487 -3.731 -2.945
-0.425 -5.022 1.837
-4.774 -1.895 1.547
Al Dy Y
1 1 2
Direct
0.500 0.500 0.500
0.000 0.000 0.000
0.750 0.750 0.750
0.250 0.250 0.250
```

Summary:
electronic total energy = -5.37 eV/atom
energy above the lowest structure with this stoichiometry = 151 meV per atom
energy relative to the elements = -52 meV/atom
crystal system = cubic

---

No. 12
Computed, not measured: a relaxed Sr3BiTe4 crystal at the PBE-GGA level of DFT.

Structure (POSCAR):
```
Sr3BiTe4
1.0
-0.381 0.920 -6.650
5.648 -3.554 -0.816
-7.133 -11.077 -1.124
Te Sr Bi
8 6 2
Direct
0.564 0.750 0.743
0.564 0.249 0.500
0.064 0.250 0.757
0.064 0.751 0.000
0.564 0.251 0.000
0.064 0.250 0.243
0.564 0.750 0.257
0.064 0.749 0.500
0.564 0.250 0.250
0.064 0.750 0.250
0.564 0.751 0.000
0.064 0.249 0.500
0.064 0.750 0.750
0.564 0.250 0.750
0.564 0.749 0.500
0.064 0.251 0.000
```

Summary:
energy relative to the elements, uncorrected = -10.25 eV per formula unit
electronic total energy = -3.97 eV/atom
crystal system = orthorhombic

---

No. 13
Computed, not measured: a relaxed Sr5La crystal at the PBE-GGA level of DFT.

Structure (POSCAR):
```
Sr5La
1.0
0.194 4.655 -5.906
-5.383 0.745 5.201
3.954 4.255 3.484
Sr La
5 1
Direct
0.333 0.667 0.000
0.000 0.500 0.500
0.500 0.500 0.500
0.500 0.000 0.500
0.667 0.333 0.000
0.000 0.000 0.000
```

Summary:
electronic total energy = -1.85 eV/atom
energy above the lowest structure with this stoichiometry = 284 meV per atom
energy relative to the elements = 371 meV/atom
crystal system = hexagonal

---

No. 14
Computed, not measured: a relaxed La2PmGa3 crystal at the PBE-GGA level of DFT.

Structure (POSCAR):
```
La2PmGa3
1.0
-2.752 2.319 0.986
0.735 -0.657 3.599
7.265 8.588 0.084
Pm Ga La
1 3 2
Direct
0.500 0.500 0.500
0.000 0.000 0.000
0.000 0.000 0.657
0.000 0.000 0.343
0.500 0.500 0.830
0.500 0.500 0.170
```

Summary:
electronic total energy = -4.52 eV/atom
energy above the lowest structure with this stoichiometry = 0 meV per atom
energy relative to the elements = -570 meV/atom
crystal system = tetragonal

---

No. 15
Computed, not measured: a relaxed Ca2AgMo crystal at the PBE-GGA level of DFT.

Structure (POSCAR):
```
Ca2AgMo
1.0
3.321 0.000 0.000
0.000 3.321 0.000
0.000 0.000 9.142
Mo Ag Ca
1 1 2
Direct
0.000 0.000 0.541
0.500 0.500 0.712
0.500 0.500 0.305
0.000 0.000 0.941
```

Summary:
electronic total energy = -3.89 eV/atom
energy above the lowest structure with this stoichiometry = 112 meV per atom
energy relative to the elements = 532 meV/atom
crystal system = tetragonal

---

No. 16
Computed, not measured: a relaxed AcTm2Tl2 crystal at the PBE-GGA level of DFT.

Structure (POSCAR):
```
AcTm2Tl2
1.0
7.166 0.006 0.002
3.589 6.055 0.001
3.580 0.005 8.227
Ac Tm Tl
2 4 4
Direct
0.125 0.250 0.749
0.875 0.750 0.251
0.478 0.750 0.044
0.522 0.250 0.956
0.728 0.250 0.544
0.272 0.750 0.456
0.410 0.680 0.750
0.590 0.320 0.250
0.840 0.820 0.750
0.160 0.180 0.250
```

Summary:
electronic total energy = -3.56 eV/atom
energy relative to the elements = -2 meV/atom
crystal system = monoclinic

---

No. 17
Computed, not measured: a relaxed TaNiPt3 crystal at the PBE-GGA level of DFT.

Structure (POSCAR):
```
TaNiPt3
1.0
4.840 0.000 0.000
0.000 4.840 0.000
0.000 0.000 4.840
Ni Ta Pt
1 1 3
Direct
0.500 0.500 0.500
0.000 0.000 0.000
0.500 0.000 0.000
0.000 0.500 0.000
0.000 0.000 0.500
```

Summary:
electronic total energy = -5.93 eV/atom
energy above the lowest structure with this stoichiometry = 1760 meV per atom
energy relative to the elements = 1220 meV/atom
crystal system = cubic

---

No. 18
Computed, not measured: a relaxed BaAgO4 crystal at the PBE-GGA level of DFT.

Structure (POSCAR):
```
BaAgO4
1.0
5.741 -1.260 -4.626
-0.586 3.838 -1.772
-2.484 2.781 11.985
Ba Ag O
2 2 8
Direct
0.863 0.857 0.714
0.137 0.143 0.286
0.572 0.398 0.795
0.428 0.602 0.205
0.655 0.255 0.197
0.420 0.686 0.372
0.345 0.058 0.803
0.345 0.745 0.803
0.580 0.314 0.628
0.655 0.942 0.197
0.000 0.837 0.000
0.000 0.163 0.000
```

Summary:
energy relative to the elements, uncorrected = -4.88 eV per formula unit
electronic total energy = -4.91 eV/atom
crystal system = monoclinic

---

No. 19
Computed, not measured: a relaxed PmLuMg crystal at the PBE-GGA level of DFT.

Structure (POSCAR):
```
PmLuMg
1.0
3.590 0.000 0.000
0.000 3.590 0.000
-1.795 -1.795 6.778
Mg Pm Lu
1 1 1
Direct
0.662 0.662 0.324
0.330 0.330 0.661
0.008 0.008 0.015
```

Summary:
electronic total energy = -3.66 eV/atom
energy above the lowest structure with this stoichiometry = 0 meV per atom
energy relative to the elements = -34 meV/atom
crystal system = tetragonal

---

No. 20
Computed, not measured: a relaxed KBa2Be crystal at the PBE-GGA level of DFT.

Structure (POSCAR):
```
KBa2Be
1.0
6.093 0.000 0.000
3.047 5.277 0.000
3.047 1.759 4.975
Be Ba K
1 2 1
Direct
0.500 0.500 0.500
0.250 0.250 0.250
0.000 0.000 0.000
0.750 0.750 0.750
```

Summary:
electronic total energy = -1.52 eV/atom
energy relative to the elements = 646 meV/atom
crystal system = cubic